[1]
Here is an optimized crystal structure of PrTmAl2Pt4 from the Open Quantum Materials Database. Energies are from PBE-GGA.

CIF file:
```
data_PrTmAl2Pt4
_cell_length_a 4.3584
_cell_length_b 4.3584
_cell_length_c 9.4442
_cell_angle_alpha 90.00
_cell_angle_beta 90.00
_cell_angle_gamma 120.00
_symmetry_space_group_name_H-M 'P -6 m 2'
_symmetry_Int_Tables_number 187
_symmetry_space_group_name_Hall 'P -6 2'
loop_
_atom_site_label
_atom_site_type_symbol
_atom_site_fract_x
_atom_site_fract_y
_atom_site_fract_z
Pr1 Pr 0.0000 0.0000 0.0000
Tm1 Tm 0.6667 0.3333 0.5000
Al1 Al 0.3333 0.6667 0.2595
Pt1 Pt 0.0000 0.0000 0.3422
Pt2 Pt 0.6667 0.3333 0.1858
```

Results
- crystal system = hexagonal
- total energy (eV/atom) = -6.267

[2]
Here is an optimized crystal structure of SrZrPd2 from the Open Quantum Materials Database. Energies are from PBE-GGA.

CIF file:
```
data_SrZrPd2
_cell_length_a 4.689
_cell_length_b 3.515
_cell_length_c 10.888
_cell_angle_alpha 90.00
_cell_angle_beta 90.00
_cell_angle_gamma 90.00
_symmetry_space_group_name_H-M 'A m m 2'
_symmetry_Int_Tables_number 38
loop_
_symmetry_equiv_pos_as_xyz
'x,y,z'
'-x,-y,z'
'-x,y,z'
'x,-y,z'
'x,y+1/2,z+1/2'
'-x,-y+1/2,z+1/2'
'-x,y+1/2,z+1/2'
'x,-y+1/2,z+1/2'
loop_
_atom_site_label
_atom_site_type_symbol
_atom_site_fract_x
_atom_site_fract_y
_atom_site_fract_z
Sr1 Sr 0.000 0.000 0.000
Zr1 Zr 0.500 0.000 0.272
Pd1 Pd 0.000 0.000 0.735
Pd2 Pd 0.500 0.000 0.573
```

Results
- crystal system = orthorhombic
- total energy (eV/atom) = -5.589

[3]
Here is an optimized crystal structure of Gd2CuPt from the Open Quantum Materials Database. Energies are from PBE-GGA.

CIF file:
```
data_Gd2CuPt
_cell_length_a 4.469
_cell_length_b 5.574
_cell_length_c 7.206
_cell_angle_alpha 90.00
_cell_angle_beta 90.00
_cell_angle_gamma 90.00
_symmetry_space_group_name_H-M 'P m c 21'
_symmetry_Int_Tables_number 26
loop_
_symmetry_equiv_pos_as_xyz
'x,y,z'
'-x,-y,z+1/2'
'-x,y,z'
'x,-y,z+1/2'
loop_
_atom_site_label
_atom_site_type_symbol
_atom_site_fract_x
_atom_site_fract_y
_atom_site_fract_z
Gd1 Gd 0.000 0.109 0.000
Gd2 Gd 0.500 0.382 0.367
Cu1 Cu 0.000 0.388 0.646
Pt1 Pt 0.500 0.117 0.721
```

Results
- crystal system = orthorhombic
- formation energy from the elements (eV per atom) = -0.781

[4]
Here is an optimized crystal structure of ErInCu from the Open Quantum Materials Database. Energies are from PBE-GGA.

CIF file:
```
data_ErInCu
_cell_length_a 6.661
_cell_length_b 6.661
_cell_length_c 6.661
_cell_angle_alpha 90.00
_cell_angle_beta 90.00
_cell_angle_gamma 90.00
_symmetry_space_group_name_H-M 'F -4 3 m'
_symmetry_Int_Tables_number 216
_symmetry_space_group_name_Hall 'F -4 2 3'
loop_
_atom_site_label
_atom_site_type_symbol
_atom_site_fract_x
_atom_site_fract_y
_atom_site_fract_z
Er1 Er 0.000 0.000 0.000
In1 In 0.250 0.250 0.750
Cu1 Cu 0.000 0.000 0.500
```

Results
- crystal system = cubic
- total energy (eV/atom) = -3.542

Number 1: spin magnetization 0.011 μB per formula unit. Number 2: spin magnetization 0.008 μB per formula unit. Number 3: spin magnetization 0.003 μB per formula unit. Number 4: spin magnetization 0.044 μB per formula unit.